*w*
The following is a PBE calculation of AlVBi3 after structural relaxation, from Alexandria via LeMat-Bulk.

Lattice parameters (Å, degrees): 5.413 5.413 5.413 90.00 90.00 90.00
Atoms (fractional coordinates):
Bi (0.000, 0.500, 0.000)
Bi (0.000, 0.000, 0.500)
Bi (0.500, 0.000, 0.000)
Al (0.000, 0.000, 0.000)
V (0.500, 0.500, 0.500)

Properties
Size of the total moment in Bohr magnetons per cell: 4.10

*x*
The following is a PBE calculation of AlVBi3 after structural relaxation, from Alexandria via LeMat-Bulk.

Lattice parameters (Å, degrees): 5.307 5.307 5.307 90.00 90.00 90.00
Atoms (fractional coordinates):
Bi (0.000, 0.500, 0.000)
Bi (0.000, 0.000, 0.500)
Bi (0.500, 0.000, 0.000)
Al (0.500, 0.500, 0.500)
V (0.000, 0.000, 0.000)

Properties
Size of the total moment in Bohr magnetons per cell: 0.00

Which structure wins on stability? *x* wins.